VASP calculation (GGA-PBE) on a geometry-optimized Mn2TcNi structure.

a = 2.565 Å, b = 2.565 Å, c = 7.431 Å
α = 90.00°, β = 90.00°, γ = 90.00°
Fractional coordinates of all 4 atoms:
Mn: 0.000 0.000 0.000
Mn: 0.500 0.500 0.232
Tc: 0.500 0.500 0.733
Ni: 0.000 0.000 0.475

VASP calculation (GGA-PBE) on a geometry-optimized Mn2TcNi structure.

a = 4.123 Å, b = 4.123 Å, c = 4.123 Å
α = 60.00°, β = 60.00°, γ = 60.00°
Fractional coordinates of all 4 atoms:
Mn: 0.000 0.000 0.000
Mn: 0.250 0.250 0.250
Tc: 0.750 0.750 0.750
Ni: 0.500 0.500 0.500

VASP calculation (GGA-PBE) on a geometry-optimized Mn2TcNi structure.

a = 4.398 Å, b = 4.398 Å, c = 4.398 Å
α = 130.41°, β = 130.41°, γ = 72.75°
Fractional coordinates of all 4 atoms:
Mn: 0.250 0.750 0.500
Mn: 0.750 0.250 0.500
Tc: 0.000 0.000 0.000
Ni: 0.500 0.500 0.000

VASP calculation (GGA-PBE) on a geometry-optimized Mn2TcNi structure.

a = 4.484 Å, b = 4.484 Å, c = 4.507 Å
α = 99.88°, β = 99.88°, γ = 33.99°
Fractional coordinates of all 4 atoms:
Mn: 0.000 0.000 0.000
Mn: 0.746 0.746 0.234
Tc: 0.247 0.247 0.727
Ni: 0.496 0.496 0.489

VASP calculation (GGA-PBE) on a geometry-optimized Mn2TcNi structure.

a = 8.499 Å, b = 8.499 Å, c = 8.499 Å
α = 17.57°, β = 17.57°, γ = 17.57°
Fractional coordinates of all 4 atoms:
Mn: 0.248 0.248 0.248
Mn: 0.752 0.752 0.752
Tc: 0.000 0.000 0.000
Ni: 0.500 0.500 0.500

VASP calculation (GGA-PBE) on a geometry-optimized MnTc4Ni structure.

a = 5.048 Å, b = 5.048 Å, c = 5.048 Å
α = 60.00°, β = 60.00°, γ = 60.00°
Fractional coordinates of all 6 atoms:
Mn: 0.000 0.000 0.000
Tc: 0.126 0.625 0.625
Tc: 0.625 0.126 0.625
Tc: 0.625 0.625 0.126
Tc: 0.625 0.625 0.625
Ni: 0.250 0.250 0.250

VASP calculation (GGA-PBE) on a geometry-optimized MnTcNi14 structure.

a = 5.029 Å, b = 5.029 Å, c = 7.089 Å
α = 90.00°, β = 90.00°, γ = 90.00°
Fractional coordinates of all 16 atoms:
Mn: 0.000 0.000 0.000
Tc: 0.500 0.500 0.000
Ni: 0.000 0.000 0.500
Ni: 0.000 0.500 0.000
Ni: 0.000 0.500 0.500
Ni: 0.251 0.251 0.254
Ni: 0.251 0.251 0.746
Ni: 0.251 0.749 0.254
Ni: 0.251 0.749 0.746
Ni: 0.500 0.000 0.000
Ni: 0.500 0.000 0.500
Ni: 0.500 0.500 0.500
Ni: 0.749 0.251 0.254
Ni: 0.749 0.251 0.746
Ni: 0.749 0.749 0.254
Ni: 0.749 0.749 0.746

VASP calculation (GGA-PBE) on a geometry-optimized MnTcNi2 structure.

a = 4.427 Å, b = 4.427 Å, c = 4.427 Å
α = 131.20°, β = 131.20°, γ = 71.50°
Fractional coordinates of all 4 atoms:
Mn: 0.000 0.000 0.000
Tc: 0.750 0.250 0.500
Ni: 0.250 0.750 0.500
Ni: 0.500 0.500 0.000

| no. | D(E_F) (states/eV/cell) | E_tot (eV per atom) |
| --- | --- | --- |
| 1 | 3.91 | -8.5839 |
| 2 | 5.49 | -8.4484 |
| 3 | 5.01 | -8.5900 |
| 4 | 4.74 | -8.5467 |
| 5 | 6.41 | -8.4464 |
| 6 | 5.41 | -8.9423 |
| 7 | 27.16 | -6.2816 |
| 8 | 5.75 | -7.7614 |